[1]
VASP calculation (PBE-GGA) on a relaxed HfZrIn2Ag2Pd2 crystal.

Spin magnetization = 0.02 μB/f.u.
Energy = -5.403 eV/atom
Space-group type = P-4m2, No. 115

Lattice parameters (Å, degrees): 4.7146 4.7146 6.6932 90.00 90.00 90.00
Element x y z (fractional)
Hf 0.0000 0.0000 0.0000
Zr 0.5000 0.5000 0.5000
In 0.0000 0.0000 0.5000
In 0.5000 0.5000 0.0000
Ag 0.0000 0.5000 0.7533
Ag 0.5000 0.0000 0.2467
Pd 0.0000 0.5000 0.2444
Pd 0.5000 0.0000 0.7556

---

[2]
VASP calculation (PBE-GGA) on a relaxed TaH4 crystal.

Spin magnetization = 0.00 μB/f.u.
Energy = -4.915 eV/atom
Space-group type = P-6m2, No. 187

Lattice parameters (Å, degrees): 3.4820 3.4820 5.2866 90.00 90.00 120.00
Element x y z (fractional)
Ta 0.0000 0.0000 0.0000
Ta 0.3333 0.6667 0.5000
H 0.3333 0.6667 0.0000
H 0.3421 0.1710 0.3154
H 0.3421 0.1710 0.6846
H 0.6667 0.3333 0.0000
H 0.8290 0.1710 0.3154
H 0.8290 0.1710 0.6846
H 0.8290 0.6579 0.3154
H 0.8290 0.6579 0.6846

---

[3]
VASP calculation (PBE-GGA) on a relaxed SmMgIr crystal.

Spin magnetization = 0.00 μB/f.u.
Energy = -4.773 eV/atom
Space-group type = F-43m, No. 216

Lattice parameters (Å, degrees): 6.7126 6.7126 6.7126 90.00 90.00 90.00
Element x y z (fractional)
Sm 0.0000 0.0000 0.0000
Sm 0.0000 0.5000 0.5000
Sm 0.5000 0.0000 0.5000
Sm 0.5000 0.5000 0.0000
Mg 0.2500 0.2500 0.2500
Mg 0.2500 0.7500 0.7500
Mg 0.7500 0.2500 0.7500
Mg 0.7500 0.7500 0.2500
Ir 0.2500 0.2500 0.7500
Ir 0.2500 0.7500 0.2500
Ir 0.7500 0.2500 0.2500
Ir 0.7500 0.7500 0.7500

---

[4]
VASP calculation (PBE-GGA) on a relaxed KHfPdSe2S crystal.

Spin magnetization = 0.00 μB/f.u.
Energy = -5.693 eV/atom
Space-group type = P2_1/m, No. 11

Lattice parameters (Å, degrees): 8.3943 3.7918 10.0625 90.00 111.30 90.00
Element x y z (fractional)
K 0.2236 0.2500 0.2637
K 0.7764 0.7500 0.7363
Hf 0.3069 0.7500 0.8347
Hf 0.6931 0.2500 0.1653
Pd 0.1003 0.2500 0.5987
Pd 0.8997 0.7500 0.4013
Se 0.2699 0.7500 0.5600
Se 0.4429 0.7500 0.1288
Se 0.5571 0.2500 0.8712
Se 0.7301 0.2500 0.4400
S 0.1130 0.2500 0.8509
S 0.8870 0.7500 0.1491

---

[5]
VASP calculation (PBE-GGA) on a relaxed SrLuTa crystal.

Spin magnetization = 3.41 μB/f.u.
Energy = -4.697 eV/atom
Space-group type = F-43m, No. 216

Lattice parameters (Å, degrees): 7.4656 7.4656 7.4656 90.00 90.00 90.00
Element x y z (fractional)
Sr 0.0000 0.0000 0.0000
Sr 0.0000 0.5000 0.5000
Sr 0.5000 0.0000 0.5000
Sr 0.5000 0.5000 0.0000
Lu 0.0000 0.0000 0.5000
Lu 0.0000 0.5000 0.0000
Lu 0.5000 0.0000 0.0000
Lu 0.5000 0.5000 0.5000
Ta 0.2500 0.2500 0.7500
Ta 0.2500 0.7500 0.2500
Ta 0.7500 0.2500 0.2500
Ta 0.7500 0.7500 0.7500

---

[6]
VASP calculation (PBE-GGA) on a relaxed LiReSiTe crystal.

Spin magnetization = 0.00 μB/f.u.
Energy = -5.538 eV/atom
Space-group type = F-43m, No. 216

Lattice parameters (Å, degrees): 6.3382 6.3382 6.3382 90.00 90.00 90.00
Element x y z (fractional)
Li 0.0000 0.0000 0.0000
Li 0.0000 0.5000 0.5000
Li 0.5000 0.0000 0.5000
Li 0.5000 0.5000 0.0000
Re 0.0000 0.0000 0.5000
Re 0.0000 0.5000 0.0000
Re 0.5000 0.0000 0.0000
Re 0.5000 0.5000 0.5000
Si 0.2500 0.2500 0.7500
Si 0.2500 0.7500 0.2500
Si 0.7500 0.2500 0.2500
Si 0.7500 0.7500 0.7500
Te 0.2500 0.2500 0.2500
Te 0.2500 0.7500 0.7500
Te 0.7500 0.2500 0.7500
Te 0.7500 0.7500 0.2500

---

[7]
VASP calculation (PBE-GGA) on a relaxed DyBiPd crystal.

Spin magnetization = 0.01 μB/f.u.
Energy = -5.398 eV/atom
Space-group type = P-62m, No. 189

Lattice parameters (Å, degrees): 7.6655 7.6655 4.1915 90.00 90.00 120.00
Element x y z (fractional)
Dy 0.0000 0.6070 0.0000
Dy 0.3930 0.3930 0.0000
Dy 0.6070 0.0000 0.0000
Bi 0.0000 0.2717 0.5000
Bi 0.2717 0.0000 0.5000
Bi 0.7283 0.7283 0.5000
Pd 0.0000 0.0000 0.0000
Pd 0.3333 0.6667 0.5000
Pd 0.6667 0.3333 0.5000

---

[8]
VASP calculation (PBE-GGA) on a relaxed LiTaTlIr crystal.

Spin magnetization = 0.00 μB/f.u.
Energy = -5.763 eV/atom
Space-group type = F-43m, No. 216

Lattice parameters (Å, degrees): 6.4286 6.4286 6.4286 90.00 90.00 90.00
Element x y z (fractional)
Li 0.0000 0.0000 0.0000
Li 0.0000 0.5000 0.5000
Li 0.5000 0.0000 0.5000
Li 0.5000 0.5000 0.0000
Ta 0.2500 0.2500 0.7500
Ta 0.2500 0.7500 0.2500
Ta 0.7500 0.2500 0.2500
Ta 0.7500 0.7500 0.7500
Tl 0.0000 0.0000 0.5000
Tl 0.0000 0.5000 0.0000
Tl 0.5000 0.0000 0.0000
Tl 0.5000 0.5000 0.5000
Ir 0.2500 0.2500 0.2500
Ir 0.2500 0.7500 0.7500
Ir 0.7500 0.2500 0.7500
Ir 0.7500 0.7500 0.2500

---

[9]
VASP calculation (PBE-GGA) on a relaxed Lu4Tl3W2N3 crystal.

Spin magnetization = 0.01 μB/f.u.
Energy = -6.968 eV/atom
Space-group type = C2/c, No. 15

Lattice parameters (Å, degrees): 5.8080 5.8080 14.7636 100.88 100.88 60.52
Element x y z (fractional)
Lu 0.0292 0.1970 0.0880
Lu 0.1399 0.3031 0.4120
Lu 0.1970 0.0292 0.5880
Lu 0.3031 0.1399 0.9120
Lu 0.6969 0.8601 0.0880
Lu 0.8030 0.9708 0.4120
Lu 0.8601 0.6969 0.5880
Lu 0.9708 0.8030 0.9120
Tl 0.1144 0.8856 0.2500
Tl 0.2775 0.4175 0.7495
Tl 0.4175 0.2775 0.2495
Tl 0.5825 0.7225 0.7505
Tl 0.7225 0.5825 0.2505
Tl 0.8856 0.1144 0.7500
W 0.3677 0.5215 0.0682
W 0.4785 0.6323 0.4318
W 0.5215 0.3677 0.5682
W 0.6323 0.4785 0.9318
N 0.0000 0.5000 0.0000
N 0.1622 0.6694 0.5002
N 0.3306 0.8378 0.9998
N 0.5000 0.0000 0.5000
N 0.6694 0.1622 0.0002
N 0.8378 0.3306 0.4998

---

[10]
VASP calculation (PBE-GGA) on a relaxed NaThZn crystal.

Spin magnetization = 0.01 μB/f.u.
Energy = -2.477 eV/atom
Space-group type = F-43m, No. 216

Lattice parameters (Å, degrees): 7.1049 7.1049 7.1049 90.00 90.00 90.00
Element x y z (fractional)
Na 0.0000 0.0000 0.0000
Na 0.0000 0.5000 0.5000
Na 0.5000 0.0000 0.5000
Na 0.5000 0.5000 0.0000
Th 0.2500 0.2500 0.2500
Th 0.2500 0.7500 0.7500
Th 0.7500 0.2500 0.7500
Th 0.7500 0.7500 0.2500
Zn 0.0000 0.0000 0.5000
Zn 0.0000 0.5000 0.0000
Zn 0.5000 0.0000 0.0000
Zn 0.5000 0.5000 0.5000

---

[11]
VASP calculation (PBE-GGA) on a relaxed CoCuSiAg crystal.

Spin magnetization = 0.51 μB/f.u.
Energy = -4.626 eV/atom
Space-group type = F-43m, No. 216

Lattice parameters (Å, degrees): 5.9245 5.9245 5.9245 90.00 90.00 90.00
Element x y z (fractional)
Co 0.0000 0.0000 0.0000
Co 0.0000 0.5000 0.5000
Co 0.5000 0.0000 0.5000
Co 0.5000 0.5000 0.0000
Cu 0.0000 0.0000 0.5000
Cu 0.0000 0.5000 0.0000
Cu 0.5000 0.0000 0.0000
Cu 0.5000 0.5000 0.5000
Si 0.2500 0.2500 0.7500
Si 0.2500 0.7500 0.2500
Si 0.7500 0.2500 0.2500
Si 0.7500 0.7500 0.7500
Ag 0.2500 0.2500 0.2500
Ag 0.2500 0.7500 0.7500
Ag 0.7500 0.2500 0.7500
Ag 0.7500 0.7500 0.2500

---

[12]
VASP calculation (PBE-GGA) on a relaxed TaO2 crystal.

Spin magnetization = 0.00 μB/f.u.
Energy = -9.823 eV/atom
Space-group type = P4_2/mnm, No. 136

Lattice parameters (Å, degrees): 4.9275 4.9275 2.8997 90.00 90.00 90.00
Element x y z (fractional)
Ta 0.0000 0.0000 0.0000
Ta 0.5000 0.5000 0.5000
O 0.2124 0.2124 0.5000
O 0.2876 0.7124 0.0000
O 0.7124 0.2876 0.0000
O 0.7876 0.7876 0.5000

---

[13]
VASP calculation (PBE-GGA) on a relaxed CsMgMo crystal.

Spin magnetization = 4.73 μB/f.u.
Energy = -2.687 eV/atom
Space-group type = F-43m, No. 216

Lattice parameters (Å, degrees): 7.9927 7.9927 7.9927 90.00 90.00 90.00
Element x y z (fractional)
Cs 0.0000 0.0000 0.0000
Cs 0.0000 0.5000 0.5000
Cs 0.5000 0.0000 0.5000
Cs 0.5000 0.5000 0.0000
Mg 0.2500 0.2500 0.2500
Mg 0.2500 0.7500 0.7500
Mg 0.7500 0.2500 0.7500
Mg 0.7500 0.7500 0.2500
Mo 0.0000 0.0000 0.5000
Mo 0.0000 0.5000 0.0000
Mo 0.5000 0.0000 0.0000
Mo 0.5000 0.5000 0.5000

---

[14]
VASP calculation (PBE-GGA) on a relaxed HoTePO6 crystal.

Spin magnetization = 0.00 μB/f.u.
Energy = -6.391 eV/atom
Space-group type = P-31c, No. 163

Lattice parameters (Å, degrees): 5.2053 5.2053 9.5386 90.00 90.00 120.00
Element x y z (fractional)
Ho 0.0000 0.0000 0.0000
Ho 0.0000 0.0000 0.5000
Te 0.3333 0.6667 0.2500
Te 0.6667 0.3333 0.7500
P 0.3333 0.6667 0.7500
P 0.6667 0.3333 0.2500
O 0.0151 0.3651 0.1366
O 0.0151 0.6500 0.3634
O 0.3500 0.3651 0.3634
O 0.3500 0.9849 0.1366
O 0.3651 0.0151 0.6366
O 0.3651 0.3500 0.8634
O 0.6349 0.6500 0.1366
O 0.6349 0.9849 0.3634
O 0.6500 0.0151 0.8634
O 0.6500 0.6349 0.6366
O 0.9849 0.3500 0.6366
O 0.9849 0.6349 0.8634

---

[15]
VASP calculation (PBE-GGA) on a relaxed Rb4Zr3Se14 crystal.

Spin magnetization = 0.01 μB/f.u.
Energy = -4.767 eV/atom
Space-group type = C2/c, No. 15

Lattice parameters (Å, degrees): 12.2390 12.2390 14.3878 109.83 109.83 41.79
Element x y z (fractional)
Rb 0.0209 0.3776 0.6076
Rb 0.1823 0.6833 0.8495
Rb 0.3167 0.8177 0.6505
Rb 0.3776 0.0209 0.1076
Rb 0.6224 0.9791 0.8924
Rb 0.6833 0.1823 0.3495
Rb 0.8177 0.3167 0.1505
Rb 0.9791 0.6224 0.3924
Zr 0.0758 0.5889 0.0856
Zr 0.2385 0.7615 0.2500
Zr 0.4111 0.9242 0.4144
Zr 0.5889 0.0758 0.5856
Zr 0.7615 0.2385 0.7500
Zr 0.9242 0.4111 0.9144
Se 0.0046 0.4335 0.1063
Se 0.0742 0.0893 0.8680
Se 0.0893 0.0742 0.3680
Se 0.1256 0.8000 0.4047
Se 0.1511 0.1996 0.3297
Se 0.1996 0.1511 0.8297
Se 0.2000 0.8744 0.0953
Se 0.2578 0.5420 0.2844
Se 0.3007 0.4075 0.6090
Se 0.3416 0.5300 0.0774
Se 0.4075 0.3007 0.1090
Se 0.4335 0.0046 0.6063
Se 0.4580 0.7422 0.2156
Se 0.4700 0.6584 0.4226
Se 0.5300 0.3416 0.5774
Se 0.5420 0.2578 0.7844
Se 0.5665 0.9954 0.3937
Se 0.5925 0.6993 0.8910
Se 0.6584 0.4700 0.9226
Se 0.6993 0.5925 0.3910
Se 0.7422 0.4580 0.7156
Se 0.8000 0.1256 0.9047
Se 0.8004 0.8489 0.1703
Se 0.8489 0.8004 0.6703
Se 0.8744 0.2000 0.5953
Se 0.9107 0.9258 0.6320
Se 0.9258 0.9107 0.1320
Se 0.9954 0.5665 0.8937

---

[16]
VASP calculation (PBE-GGA) on a relaxed TlIr15 crystal.

Spin magnetization = 0.00 μB/f.u.
Energy = -8.291 eV/atom
Space-group type = P2_1/m, No. 11

Lattice parameters (Å, degrees): 5.4525 3.8586 36.0128 90.00 90.01 90.00
Element x y z (fractional)
Tl 0.1250 0.2500 0.1959
Tl 0.8750 0.7500 0.8041
Ir 0.1249 0.2500 0.2895
Ir 0.1252 0.2500 0.3665
Ir 0.1249 0.2500 0.4425
Ir 0.1250 0.2500 0.5189
Ir 0.1254 0.2500 0.5955
Ir 0.1248 0.2500 0.6714
Ir 0.1305 0.2500 0.7468
Ir 0.3749 0.7500 0.3287
Ir 0.3754 0.7500 0.4046
Ir 0.3751 0.7500 0.4809
Ir 0.3750 0.7500 0.5571
Ir 0.3750 0.7500 0.6333
Ir 0.3752 0.7500 0.7093
Ir 0.3749 0.7500 0.7835
Ir 0.3805 0.7500 0.2533
Ir 0.6195 0.2500 0.7467
Ir 0.6251 0.2500 0.2165
Ir 0.6248 0.2500 0.2907
Ir 0.6250 0.2500 0.3667
Ir 0.6250 0.2500 0.4429
Ir 0.6249 0.2500 0.5191
Ir 0.6246 0.2500 0.5954
Ir 0.6251 0.2500 0.6713
Ir 0.8695 0.7500 0.2532
Ir 0.8752 0.7500 0.3286
Ir 0.8746 0.7500 0.4045
Ir 0.8750 0.7500 0.4811
Ir 0.8751 0.7500 0.5575
Ir 0.8748 0.7500 0.6335
Ir 0.8751 0.7500 0.7105

---

[17]
VASP calculation (PBE-GGA) on a relaxed Ta17W12 crystal.

Spin magnetization = 0.00 μB/f.u.
Space-group type = I-43m, No. 217
E_form = 0.063 eV per atom

Lattice parameters (Å, degrees): 8.7577 8.7577 8.7577 109.47 109.47 109.47
Element x y z (fractional)
Ta 0.0000 0.0000 0.0000
Ta 0.0000 0.0000 0.6336
Ta 0.0000 0.3999 0.6784
Ta 0.0000 0.6336 0.0000
Ta 0.0000 0.6784 0.3999
Ta 0.2785 0.6001 0.6001
Ta 0.3216 0.3216 0.7215
Ta 0.3216 0.7215 0.3216
Ta 0.3664 0.3664 0.3664
Ta 0.3999 0.0000 0.6784
Ta 0.3999 0.6784 0.0000
Ta 0.6001 0.2785 0.6001
Ta 0.6001 0.6001 0.2785
Ta 0.6336 0.0000 0.0000
Ta 0.6784 0.0000 0.3999
Ta 0.6784 0.3999 0.0000
Ta 0.7215 0.3216 0.3216
W 0.0000 0.1853 0.3695
W 0.0000 0.3695 0.1853
W 0.1842 0.8147 0.8147
W 0.1853 0.0000 0.3695
W 0.1853 0.3695 0.0000
W 0.3695 0.0000 0.1853
W 0.3695 0.1853 0.0000
W 0.6305 0.6305 0.8158
W 0.6305 0.8158 0.6305
W 0.8147 0.1842 0.8147
W 0.8147 0.8147 0.1842
W 0.8158 0.6305 0.6305

---

[18]
VASP calculation (PBE-GGA) on a relaxed YZrIr crystal.

Spin magnetization = 0.01 μB/f.u.
Space-group type = C2/m, No. 12
E_form = -0.670 eV per atom

Lattice parameters (Å, degrees): 11.3128 3.9248 7.5842 90.00 124.91 90.00
Element x y z (fractional)
Y 0.0810 0.0000 0.3532
Y 0.4190 0.5000 0.6468
Y 0.5810 0.5000 0.3532
Y 0.9190 0.0000 0.6468
Zr 0.1731 0.5000 0.0764
Zr 0.3269 0.0000 0.9236
Zr 0.6731 0.0000 0.0764
Zr 0.8269 0.5000 0.9236
Ir 0.1453 0.5000 0.6922
Ir 0.3547 0.0000 0.3078
Ir 0.6453 0.0000 0.6922
Ir 0.8547 0.5000 0.3078

---

[19]
VASP calculation (PBE-GGA) on a relaxed LuZnCuIr crystal.

Spin magnetization = 0.00 μB/f.u.
Space-group type = F-43m, No. 216
E_form = -0.252 eV per atom

Lattice parameters (Å, degrees): 6.4231 6.4231 6.4231 90.00 90.00 90.00
Element x y z (fractional)
Lu 0.0000 0.0000 0.0000
Lu 0.0000 0.5000 0.5000
Lu 0.5000 0.0000 0.5000
Lu 0.5000 0.5000 0.0000
Zn 0.2500 0.2500 0.2500
Zn 0.2500 0.7500 0.7500
Zn 0.7500 0.2500 0.7500
Zn 0.7500 0.7500 0.2500
Cu 0.0000 0.0000 0.5000
Cu 0.0000 0.5000 0.0000
Cu 0.5000 0.0000 0.0000
Cu 0.5000 0.5000 0.5000
Ir 0.2500 0.2500 0.7500
Ir 0.2500 0.7500 0.2500
Ir 0.7500 0.2500 0.2500
Ir 0.7500 0.7500 0.7500

---

[20]
VASP calculation (PBE-GGA) on a relaxed BaGa2Au2 crystal.

Energy = -3.473 eV/atom
Space-group type = C2/m, No. 12

Lattice parameters (Å, degrees): 6.5083 6.5033 6.5142 90.00 119.84 90.00
Element x y z (fractional)
Ba 0.0000 0.0000 0.0000
Ba 0.5000 0.5000 0.0000
Ga 0.0000 0.2500 0.5000
Ga 0.0000 0.7500 0.5000
Ga 0.5000 0.2500 0.5000
Ga 0.5000 0.7500 0.5000
Au 0.1305 0.5000 0.2609
Au 0.3695 0.0000 0.7391
Au 0.6305 0.0000 0.2609
Au 0.8695 0.5000 0.7391

---

[21]
VASP calculation (PBE-GGA) on a relaxed CsLiNiTe crystal.

Spin magnetization = 0.00 μB/f.u.
Energy = -2.776 eV/atom
Space-group type = F-43m, No. 216

Lattice parameters (Å, degrees): 7.2509 7.2509 7.2509 90.00 90.00 90.00
Element x y z (fractional)
Cs 0.0000 0.0000 0.0000
Cs 0.0000 0.5000 0.5000
Cs 0.5000 0.0000 0.5000
Cs 0.5000 0.5000 0.0000
Li 0.2500 0.2500 0.7500
Li 0.2500 0.7500 0.2500
Li 0.7500 0.2500 0.2500
Li 0.7500 0.7500 0.7500
Ni 0.2500 0.2500 0.2500
Ni 0.2500 0.7500 0.7500
Ni 0.7500 0.2500 0.7500
Ni 0.7500 0.7500 0.2500
Te 0.0000 0.0000 0.5000
Te 0.0000 0.5000 0.0000
Te 0.5000 0.0000 0.0000
Te 0.5000 0.5000 0.5000